## SrCa2Mg2Tl2 (PBE)

Data for a geometry-optimized SrCa2Mg2Tl2 structure.

Calculated values
E_form = -1.7 eV per formula unit
total DFT energy (no corrections) = -2.188 eV per atom
calculated volume = 220.7 Å³/f.u.
SG = No. 166

```
SrCa2Mg2Tl2
1.0
2.5521 1.4735 9.7824
-2.5521 1.4735 9.7824
0.0000 -2.9469 9.7824
Sr Ca Mg Tl
1 2 2 2
direct
0.0000 0.0000 0.0000 Sr
0.1305 0.1305 0.1305 Ca
0.8695 0.8695 0.8695 Ca
0.4065 0.4065 0.4065 Mg
0.5935 0.5935 0.5935 Mg
0.2526 0.2526 0.2526 Tl
0.7474 0.7474 0.7474 Tl
```

=====

## Ba2Be2AsP2 (PBE)

Data for a geometry-optimized Ba2Be2AsP2 structure.

Calculated values
E_form = -4.1 eV per formula unit
total DFT energy (no corrections) = -4.411 eV per atom
calculated volume = 162.6 Å³/f.u.
SG = No. 12

```
Ba2Be2AsP2
1.0
6.3616 -1.9658 0.0000
6.3616 1.9658 0.0000
-5.3151 0.0000 6.5000
Ba Be As P
2 2 1 2
direct
0.0501 0.0501 0.2570 Ba
0.9499 0.9499 0.7430 Ba
0.2932 0.2932 0.1442 Be
0.7068 0.7068 0.8558 Be
0.5000 0.5000 0.5000 As
0.3044 0.3044 0.8865 P
0.6956 0.6956 0.1135 P
```

=====

## Sr2CrAu (PBE)

Data for a geometry-optimized Sr2CrAu structure.

Calculated values
E_form = 0.2 eV per formula unit
total DFT energy (no corrections) = -4.026 eV per atom
ΔE to the lowest computed polymorph = 0.45 eV/f.u.
calculated volume = 122.3 Å³/f.u.
SG = No. 8

```
Sr2CrAu
1.0
6.4156 -1.9552 0.0000
6.4156 1.9552 0.0000
-2.2370 0.0000 4.8761
Sr Cr Au
2 1 1
direct
0.0000 0.0000 0.0000 Sr
0.2077 0.2077 0.7073 Sr
0.7975 0.7975 0.2969 Cr
0.4608 0.4608 0.4612 Au
```

=====

## LiPrIn4O8 (PBE)

Data for a geometry-optimized LiPrIn4O8 structure.

Calculated values
uncorrected formation energy = -179.8 kJ per mole of atoms
total DFT energy (no corrections) = -5.957 eV per atom
calculated volume = 200.8 Å³/f.u.
SG = No. 160

```
LiPrIn4O8
1.0
3.3158 1.9144 5.2735
-3.3158 1.9144 5.2735
0.0000 -3.8287 5.2735
Li Pr In O
1 1 4 8
direct
0.0000 0.0000 0.0000 Li
0.6251 0.6251 0.6251 Pr
0.0067 0.0067 0.5109 In
0.0067 0.5109 0.0067 In
0.3896 0.3896 0.3896 In
0.5109 0.0067 0.0067 In
0.2109 0.7712 0.7712 O
0.2534 0.2534 0.2534 O
0.2584 0.2584 0.7827 O
0.2584 0.7827 0.2584 O
0.7685 0.7685 0.7685 O
0.7712 0.2109 0.7712 O
0.7712 0.7712 0.2109 O
0.7827 0.2584 0.2584 O
```

=====

## LiAg6Te4 (PBE)

Data for a geometry-optimized LiAg6Te4 structure.

Calculated values
uncorrected formation energy = -15.5 kJ per mole of atoms
total DFT energy (no corrections) = -3.032 eV per atom
calculated volume = 269.8 Å³/f.u.
SG = No. 121

```
LiAg6Te4
1.0
-3.4637 3.4637 5.6229
3.4637 -3.4637 5.6229
3.4637 3.4637 -5.6229
Li Ag Te
1 6 4
direct
0.0000 0.0000 0.0000 Li
0.0000 0.5000 0.5000 Ag
0.2334 0.2334 0.6995 Ag
0.4661 0.7666 0.0000 Ag
0.5000 0.0000 0.5000 Ag
0.5339 0.5339 0.3005 Ag
0.7666 0.4661 0.0000 Ag
0.1029 0.6137 0.0000 Te
0.3863 0.3863 0.4892 Te
0.6137 0.1029 0.0000 Te
0.8971 0.8971 0.5108 Te
```

=====

## AlTl2Br (PBE)

Data for a geometry-optimized AlTl2Br structure.

Calculated values
uncorrected formation energy = 1.7 kJ per mole of atoms
total DFT energy (no corrections) = -2.520 eV per atom
ΔE to the lowest computed polymorph = 0.43 eV/f.u.
calculated volume = 154.7 Å³/f.u.
SG = No. 122

```
AlTl2Br
1.0
-3.2649 3.2649 7.2574
3.2649 -3.2649 7.2574
3.2649 3.2649 -7.2574
Al Tl Br
2 4 2
direct
0.0000 0.0000 0.0000 Al
0.7500 0.2500 0.5000 Al
0.0659 0.6250 0.9409 Tl
0.3750 0.3159 0.4409 Tl
0.6841 0.1250 0.0591 Tl
0.8750 0.9341 0.5591 Tl
0.2500 0.7500 0.5000 Br
0.5000 0.5000 0.0000 Br
```

=====

## Cs2TmIO6 (PBE)

Data for a geometry-optimized Cs2TmIO6 structure.

Calculated values
uncorrected formation energy = -151.4 kJ per mole of atoms
total DFT energy (no corrections) = -5.317 eV per atom
calculated volume = 230.5 Å³/f.u.
SG = No. 164

```
Cs2TmIO6
1.0
6.7946 0.0000 0.0000
-3.3973 5.8843 0.0000
0.0000 0.0000 5.7663
Cs Tm I O
2 1 1 6
direct
0.3333 0.6667 0.1445 Cs
0.6667 0.3333 0.8555 Cs
0.0000 0.0000 0.5000 Tm
0.0000 0.0000 0.0000 I
0.1291 0.2582 0.7947 O
0.1291 0.8709 0.7947 O
0.2582 0.1291 0.2053 O
0.7418 0.8709 0.7947 O
0.8709 0.1291 0.2053 O
0.8709 0.7418 0.2053 O
```

=====

## GdHgGe (PBE)

Data for a geometry-optimized GdHgGe structure.

Calculated values
E_form = -0.9 eV per formula unit
total DFT energy (no corrections) = -6.647 eV per atom
calculated volume = 71.1 Å³/f.u.
SG = No. 107

```
GdHgGe
1.0
-1.8019 1.8019 5.4784
1.8019 -1.8019 5.4784
1.8019 1.8019 -5.4784
Gd Hg Ge
1 1 1
direct
0.0000 0.0000 0.0000 Gd
0.3200 0.3200 0.0000 Hg
0.6726 0.6726 0.0000 Ge
```

=====

## LaPm6Ho3 (PBE)

Data for a geometry-optimized LaPm6Ho3 structure.

Calculated values
E_form = 1.4 eV per formula unit
total DFT energy (no corrections) = -4.573 eV per atom
ΔE to the lowest computed polymorph = 0.00 eV/f.u.
calculated volume = 336.5 Å³/f.u.
SG = No. 36

```
LaPm6Ho3
1.0
5.5362 -9.6253 0.0000
5.5362 9.6253 0.0000
0.0000 0.0000 6.3149
La Pm Ho
2 12 6
direct
0.1914 0.8086 0.5000 La
0.8086 0.1914 0.0000 La
0.0378 0.9622 0.2772 Pm
0.0534 0.4718 0.7739 Pm
0.2812 0.7188 0.0425 Pm
0.2923 0.3741 0.9461 Pm
0.3741 0.2923 0.4461 Pm
0.4718 0.0534 0.2739 Pm
0.5282 0.9466 0.7739 Pm
0.6259 0.7077 0.9461 Pm
0.7077 0.6259 0.4461 Pm
0.7188 0.2812 0.5425 Pm
0.9466 0.5282 0.2739 Pm
0.9622 0.0378 0.7772 Pm
0.0601 0.2895 0.3631 Ho
0.2895 0.0601 0.8631 Ho
0.3838 0.6162 0.4873 Ho
0.6162 0.3838 0.9873 Ho
0.7105 0.9399 0.3631 Ho
0.9399 0.7105 0.8631 Ho
```

=====

## KCa2Ni2 (PBE)

Data for a geometry-optimized KCa2Ni2 structure.

Calculated values
E_form = 1.3 eV per formula unit
total DFT energy (no corrections) = -3.068 eV per atom
ΔE to the lowest computed polymorph = 0.39 eV/f.u.
calculated volume = 123.2 Å³/f.u.
SG = No. 127

```
KCa2Ni2
1.0
8.6097 0.0000 0.0000
0.0000 8.6097 0.0000
0.0000 0.0000 3.3253
K Ca Ni
2 4 4
direct
0.0000 0.0000 0.0000 K
0.5000 0.5000 0.0000 K
0.1377 0.3623 0.0000 Ca
0.3623 0.8623 0.0000 Ca
0.6377 0.1377 0.0000 Ca
0.8623 0.6377 0.0000 Ca
0.1479 0.6479 0.5000 Ni
0.3521 0.1479 0.5000 Ni
0.6479 0.8521 0.5000 Ni
0.8521 0.3521 0.5000 Ni
```

=====

## KScAl2 (PBE)

Data for a geometry-optimized KScAl2 structure.

Calculated values
E_form = 0.5 eV per formula unit
total DFT energy (no corrections) = -3.605 eV per atom
ΔE to the lowest computed polymorph = 0.58 eV/f.u.
calculated volume = 106.2 Å³/f.u.
SG = No. 6

```
KScAl2
1.0
3.2479 0.0000 0.0000
0.0000 4.6054 0.0000
-0.3576 0.0000 7.0973
K Sc Al
1 1 2
direct
0.0000 0.0000 0.0000 K
0.9288 0.5000 0.3891 Sc
0.4444 0.0000 0.5035 Al
0.4666 0.5000 0.7200 Al
```

=====

## Cd3Ag2Au5 (PBE)

Data for a geometry-optimized Cd3Ag2Au5 structure.

Calculated values
E_form = -0.9 eV per formula unit
total DFT energy (no corrections) = -2.575 eV per atom
calculated volume = 191.4 Å³/f.u.
SG = No. 15

```
Cd3Ag2Au5
1.0
4.9097 -6.7590 0.0000
4.9097 6.7590 0.0000
-0.4186 0.0000 5.7672
Cd Ag Au
6 4 10
direct
0.0487 0.9513 0.7500 Cd
0.2169 0.5154 0.3877 Cd
0.4846 0.7831 0.1123 Cd
0.5154 0.2169 0.8877 Cd
0.7831 0.4846 0.6123 Cd
0.9513 0.0487 0.2500 Cd
0.1315 0.6232 0.8818 Ag
0.3768 0.8685 0.6182 Ag
0.6232 0.1315 0.3818 Ag
0.8685 0.3768 0.1182 Ag
0.0272 0.7274 0.3645 Au
0.2075 0.2939 0.0012 Au
0.2726 0.9728 0.1355 Au
0.2939 0.2075 0.5012 Au
0.4625 0.5375 0.7500 Au
0.5375 0.4625 0.2500 Au
0.7061 0.7925 0.4988 Au
0.7274 0.0272 0.8645 Au
0.7925 0.7061 0.9988 Au
0.9728 0.2726 0.6355 Au
```

=====

## TbZnNi2 (PBE)

Data for a geometry-optimized TbZnNi2 structure.

Calculated values
E_form = -0.6 eV per formula unit
total DFT energy (no corrections) = -4.508 eV per atom
calculated volume = 72.7 Å³/f.u.
SG = No. 51

```
TbZnNi2
1.0
5.1607 0.0000 0.0000
0.0000 4.7864 0.0000
0.0000 0.0000 11.7743
Tb Zn Ni
4 4 8
direct
0.2500 0.0000 0.0902 Tb
0.2500 0.5000 0.3940 Tb
0.7500 0.0000 0.9098 Tb
0.7500 0.5000 0.6060 Tb
0.2500 0.0000 0.8080 Zn
0.2500 0.5000 0.8210 Zn
0.7500 0.0000 0.1920 Zn
0.7500 0.5000 0.1790 Zn
0.0000 0.0000 0.5000 Ni
0.0000 0.5000 0.0000 Ni
0.2500 0.2551 0.6343 Ni
0.2500 0.7449 0.6343 Ni
0.5000 0.0000 0.5000 Ni
0.5000 0.5000 0.0000 Ni
0.7500 0.2551 0.3657 Ni
0.7500 0.7449 0.3657 Ni
```

=====

## Ac4Nd6Ho (PBE)

Data for a geometry-optimized Ac4Nd6Ho structure.

Calculated values
E_form = 2.7 eV per formula unit
total DFT energy (no corrections) = -4.266 eV per atom
calculated volume = 433.8 Å³/f.u.
SG = No. 121

```
Ac4Nd6Ho
1.0
-3.5889 3.5889 8.4205
3.5889 -3.5889 8.4205
3.5889 3.5889 -8.4205
Ac Nd Ho
4 6 1
direct
0.1262 0.1262 0.6114 Ac
0.4852 0.8738 0.0000 Ac
0.5148 0.5148 0.3886 Ac
0.8738 0.4852 0.0000 Ac
0.0000 0.5000 0.5000 Nd
0.0679 0.7269 0.0000 Nd
0.2731 0.2731 0.3410 Nd
0.5000 0.0000 0.5000 Nd
0.7269 0.0679 0.0000 Nd
0.9321 0.9321 0.6590 Nd
0.5000 0.5000 0.0000 Ho
```

=====

## MnNi7As2Pt2 (PBE)

Data for a geometry-optimized MnNi7As2Pt2 structure.

Calculated values
E_form = -1.0 eV per formula unit
total DFT energy (no corrections) = -6.003 eV per atom
calculated volume = 155.1 Å³/f.u.
SG = No. 12

```
MnNi7As2Pt2
1.0
2.4933 -2.4934 0.0000
2.4933 2.4934 0.0000
-2.4903 0.0000 12.4727
Mn Ni As Pt
1 7 2 2
direct
0.0000 0.0000 0.0000 Mn
0.0732 0.5731 0.1466 Ni
0.2742 0.2742 0.5463 Ni
0.4269 0.9268 0.8534 Ni
0.5000 0.5000 0.0000 Ni
0.5731 0.0732 0.1466 Ni
0.7258 0.7258 0.4537 Ni
0.9268 0.4269 0.8534 Ni
0.3630 0.3630 0.7259 As
0.6370 0.6370 0.2741 As
0.1715 0.1715 0.3434 Pt
0.8285 0.8285 0.6566 Pt
```

=====

## Zr2MoW (PBE)

Data for a geometry-optimized Zr2MoW structure.

Calculated values
E_form = 0.6 eV per formula unit
total DFT energy (no corrections) = -10.064 eV per atom
ΔE to the lowest computed polymorph = 0.51 eV/f.u.
calculated volume = 74.6 Å³/f.u.
SG = No. 12

```
Zr2MoW
1.0
2.9353 -4.6116 0.0000
2.9353 4.6116 0.0000
-1.0376 0.0000 2.7554
Zr Mo W
2 1 1
direct
0.0000 0.5000 0.0000 Zr
0.5000 0.0000 0.0000 Zr
0.0000 0.0000 0.5000 Mo
0.5000 0.5000 0.5000 W
```

=====

## Be3Ag5 (PBE)

Data for a geometry-optimized Be3Ag5 structure.

Calculated values
E_form = 1.8 eV per formula unit
total DFT energy (no corrections) = -2.961 eV per atom
ΔE to the lowest computed polymorph = 0.67 eV/f.u.
calculated volume = 115.2 Å³/f.u.
SG = No. 65

```
Be3Ag5
1.0
3.4857 -4.1609 0.0000
3.4857 4.1609 0.0000
0.0000 0.0000 3.9698
Be Ag
3 5
direct
0.0000 0.0000 0.0000 Be
0.2674 0.7326 0.5000 Be
0.7326 0.2674 0.5000 Be
0.0000 0.5000 0.0000 Ag
0.2053 0.2053 0.5000 Ag
0.5000 0.0000 0.0000 Ag
0.5000 0.5000 0.0000 Ag
0.7947 0.7947 0.5000 Ag
```

=====

## Nd6Cu5Au (PBE)

Data for a geometry-optimized Nd6Cu5Au structure.

Calculated values
E_form = -2.9 eV per formula unit
total DFT energy (no corrections) = -4.607 eV per atom
calculated volume = 284.4 Å³/f.u.
SG = No. 10

```
Nd6Cu5Au
1.0
5.1369 0.0000 0.0000
0.0000 7.1965 0.0000
-2.5357 0.0000 7.6932
Nd Cu Au
6 5 1
direct
0.0000 0.2452 0.0000 Nd
0.0000 0.7548 0.0000 Nd
0.3309 0.2473 0.6631 Nd
0.3309 0.7527 0.6631 Nd
0.6691 0.2473 0.3369 Nd
0.6691 0.7527 0.3369 Nd
0.1659 0.0000 0.3298 Cu
0.1728 0.5000 0.3414 Cu
0.5000 0.0000 0.0000 Cu
0.8272 0.5000 0.6586 Cu
0.8341 0.0000 0.6702 Cu
0.5000 0.5000 0.0000 Au
```

=====

## LiMoOs2 (PBE)

Data for a geometry-optimized LiMoOs2 structure.

Calculated values
E_form = 1.1 eV per formula unit
total DFT energy (no corrections) = -8.514 eV per atom
ΔE to the lowest computed polymorph = 0.64 eV/f.u.
calculated volume = 56.3 Å³/f.u.
SG = No. 216

```
LiMoOs2
1.0
0.0000 3.0414 3.0414
3.0414 0.0000 3.0414
3.0414 3.0414 0.0000
Li Mo Os
1 1 2
direct
0.0000 0.0000 0.0000 Li
0.2500 0.2500 0.2500 Mo
0.5000 0.5000 0.5000 Os
0.7500 0.7500 0.7500 Os
```

=====

## NaHfTl (PBE)

Data for a geometry-optimized NaHfTl structure.

Calculated values
E_form = 1.8 eV per formula unit
total DFT energy (no corrections) = -3.934 eV per atom
ΔE to the lowest computed polymorph = 1.87 eV/f.u.
calculated volume = 82.1 Å³/f.u.
SG = No. 216

```
NaHfTl
1.0
0.0000 3.4500 3.4500
3.4500 0.0000 3.4500
3.4500 3.4500 0.0000
Na Hf Tl
1 1 1
direct
0.0000 0.0000 0.0000 Na
0.5000 0.5000 0.5000 Hf
0.2500 0.2500 0.2500 Tl
```